[1]
Compound: Eu2AgBr
Source: Alexandria
Functional: PBE
Structure: relaxed

Calculated values
Its total energy is -28.37 eV per cell. For the uncorrected formation energy, the calculation gives -0.8234 eV/atom. The space-group type is R-3m (166). Its size of the total moment is 14.56 μB/f.u.

Lattice parameters (Å, degrees): 4.308 4.308 8.476 75.28 75.28 60.00
Last column: magnetic moment on the atom in μB.
Fractional coordinates of all 4 atoms:
Ag 0.000 0.000 0.000  0.01
Eu 0.256 0.256 0.231  6.95
Br 0.500 0.500 0.500  -0.02
Eu 0.744 0.744 0.769  6.95

[2]
Compound: NdThCd4
Source: Alexandria
Functional: PBE
Structure: relaxed

Calculated values
Its total energy is -17.07 eV per cell. The space-group type is F-43m (216). Its size of the total moment is 0.00 μB/f.u.

Lattice parameters (Å, degrees): 5.995 5.995 5.995 60.00 60.00 60.00
Fractional coordinates of all 6 atoms:
Nd 0.250 0.250 0.250
Cd 0.625 0.625 0.625
Cd 0.625 0.625 0.126
Cd 0.126 0.625 0.625
Th 0.000 0.000 0.000
Cd 0.625 0.126 0.625

[3]
Compound: Cu2Ge3Te6
Source: Alexandria
Functional: PBE
Structure: relaxed

Calculated values
Its total energy is -41.00 eV per cell. For the uncorrected formation energy, the calculation gives -0.0094 eV/atom. The space-group type is R-3m (166). Its size of the total moment is 0.00 μB/f.u.

Lattice parameters (Å, degrees): 4.117 4.117 18.757 83.70 83.70 60.00
Fractional coordinates of all 11 atoms:
Te 0.365 0.365 0.904
Te 0.096 0.096 0.713
Ge 0.270 0.270 0.191
Te 0.186 0.186 0.441
Ge 0.730 0.730 0.809
Te 0.904 0.904 0.287
Te 0.635 0.635 0.096
Cu 0.544 0.544 0.368
Cu 0.456 0.456 0.632
Te 0.814 0.814 0.559
Ge 0.000 0.000 0.000

[4]
Compound: Li2Mg3Cd3Ga
Source: Alexandria
Functional: PBE
Structure: relaxed

Calculated values
Its total energy is -15.44 eV per cell. The space-group type is P-62m (189). Its size of the total moment is 0.00 μB/f.u.

Lattice parameters (Å, degrees): 3.361 7.860 7.860 120.00 90.00 90.00
Fractional coordinates of all 9 atoms:
Li 0.500 0.333 0.667
Li 0.500 0.667 0.333
Cd 0.000 0.000 0.385
Cd 0.000 0.615 0.615
Ga 0.000 0.000 0.000
Mg 0.500 0.280 0.280
Mg 0.500 0.000 0.720
Cd 0.000 0.385 0.000
Mg 0.500 0.720 0.000

[5]
Compound: NbClF2
Source: Alexandria
Functional: PBE
Structure: relaxed

Calculated values
Its total energy is -19.92 eV per cell. For the uncorrected formation energy, the calculation gives -1.0650 eV/atom. The space-group type is Fm-3m (225). Its size of the total moment is 2.00 μB/f.u.

Lattice parameters (Å, degrees): 4.195 4.195 4.195 60.00 60.00 60.00
Last column: magnetic moment on the atom in μB.
Fractional coordinates of all 4 atoms:
F 0.750 0.750 0.750  -0.03
Cl 0.000 0.000 0.000  -0.03
F 0.250 0.250 0.250  -0.03
Nb 0.500 0.500 0.500  1.85

[6]
Compound: Zr2TeP2
Source: Alexandria
Functional: PBE
Structure: relaxed

Calculated values
Its total energy is -69.04 eV per cell. For the uncorrected formation energy, the calculation gives -0.6929 eV/atom. The space-group type is P4/mbm (127). Its size of the total moment is 0.00 μB/f.u.

Lattice parameters (Å, degrees): 7.471 7.471 3.437 90.00 90.00 90.00
Fractional coordinates of all 10 atoms:
Zr 0.338 0.162 0.500
Zr 0.162 0.662 0.500
Te 0.500 0.500 0.000
Zr 0.662 0.838 0.500
Te 0.000 0.000 0.000
P 0.126 0.374 0.000
Zr 0.838 0.338 0.500
P 0.374 0.874 0.000
P 0.874 0.626 0.000
P 0.626 0.126 0.000

[7]
Compound: BaMgAl2
Source: Alexandria
Functional: PBE
Structure: relaxed

Calculated values
Its total energy is -11.28 eV per cell. The space-group type is R-3m (166). Its size of the total moment is 0.00 μB/f.u.

Lattice parameters (Å, degrees): 4.740 4.740 6.723 69.38 69.38 59.95
Fractional coordinates of all 4 atoms:
Mg 0.250 0.250 0.250
Al 0.547 0.547 0.358
Al 0.953 0.953 0.142
Ba 0.750 0.750 0.750

[8]
Compound: NaYTl2Se
Source: Alexandria
Functional: PBE
Structure: relaxed

Calculated values
Its total energy is -15.65 eV per cell. For the uncorrected formation energy, the calculation gives 0.0697 eV/atom. The space-group type is P4/mmm (123). Its size of the total moment is 0.00 μB/f.u.

Lattice parameters (Å, degrees): 5.416 5.038 5.416 90.00 90.00 90.00
Fractional coordinates of all 5 atoms:
Tl 0.000 0.000 0.500
Y 0.500 0.500 0.500
Tl 0.500 0.000 0.000
Na 0.000 0.000 0.000
Se 0.000 0.500 0.000

[9]
Compound: AlPbW
Source: Alexandria
Functional: PBE
Structure: relaxed

Calculated values
Its total energy is -18.58 eV per cell. The space-group type is P3m1 (156). Its size of the total moment is 0.00 μB/f.u.

Lattice parameters (Å, degrees): 3.120 3.120 7.035 90.00 90.00 120.00
Fractional coordinates of all 3 atoms:
W 0.667 0.333 0.688
Pb 0.333 0.667 0.344
Al 0.000 0.000 0.969

[10]
Compound: CaSn2Bi
Source: Alexandria
Functional: PBE
Structure: relaxed

Calculated values
Its total energy is -13.26 eV per cell. The space-group type is R-3m (166). Its size of the total moment is 0.00 μB/f.u.

Lattice parameters (Å, degrees): 3.923 3.923 10.975 79.71 79.71 60.00
Fractional coordinates of all 4 atoms:
Bi 0.500 0.500 0.500
Sn 0.901 0.901 0.296
Ca 0.000 0.000 0.000
Sn 0.099 0.099 0.704

[11]
Compound: Sc2CrFe
Source: Alexandria
Functional: PBE
Structure: relaxed

Calculated values
Its total energy is -29.16 eV per cell. The space-group type is R-3m (166). Its size of the total moment is 4.33 μB/f.u.

Lattice parameters (Å, degrees): 8.682 8.682 8.682 20.80 20.80 20.80
Last column: magnetic moment on the atom in μB.
Fractional coordinates of all 4 atoms:
Sc 0.009 0.009 0.009  -0.32
Fe 0.750 0.750 0.750  1.65
Cr 0.250 0.250 0.250  3.23
Sc 0.491 0.491 0.491  -0.32

[12]
Compound: Pm2Nd3Y6Sc
Source: Alexandria
Functional: PBE
Structure: relaxed

Calculated values
Its total energy is -68.62 eV per cell. The space-group type is C2/m (12). Its size of the total moment is 0.00 μB/f.u.

Lattice parameters (Å, degrees): 6.215 6.215 11.856 95.00 95.00 119.99
Fractional coordinates of all 12 atoms:
Y 0.412 0.082 0.246
Pm 0.334 0.666 0.000
Y 0.082 0.412 0.246
Y 0.249 0.249 0.753
Y 0.751 0.751 0.247
Y 0.588 0.918 0.754
Pm 0.666 0.334 0.000
Sc 0.000 0.000 0.000
Y 0.918 0.588 0.754
Nd 0.167 0.833 0.500
Nd 0.833 0.167 0.500
Nd 0.500 0.500 0.500

[13]
Compound: RbGa2ReW
Source: Alexandria
Functional: PBE
Structure: relaxed

Calculated values
Its total energy is -15.81 eV per cell. The space-group type is P4/mmm (123). Its size of the total moment is 1.37 μB/f.u.

Lattice parameters (Å, degrees): 4.946 4.932 4.946 90.00 90.00 90.00
Last column: magnetic moment on the atom in μB.
Fractional coordinates of all 5 atoms:
Re 0.000 0.500 0.000  1.19
W 0.500 0.500 0.500  0.01
Ga 0.000 0.000 0.500  -0.01
Ga 0.500 0.000 0.000  0.01
Rb 0.000 0.000 0.000  -0.01

[14]
Compound: YPaCoNi
Source: Alexandria
Functional: PBE
Structure: relaxed

Calculated values
Its total energy is -29.46 eV per cell. The space-group type is F-43m (216). Its size of the total moment is 0.00 μB/f.u.

Lattice parameters (Å, degrees): 4.742 4.742 4.742 60.00 60.00 60.00
Fractional coordinates of all 4 atoms:
Y 0.750 0.750 0.750
Ni 0.000 0.000 0.000
Co 0.500 0.500 0.500
Pa 0.250 0.250 0.250

[15]
Compound: Be2CdRuCl
Source: Alexandria
Functional: PBE
Structure: relaxed

Calculated values
Its total energy is -14.51 eV per cell. For the uncorrected formation energy, the calculation gives 0.9967 eV/atom. The space-group type is P4/mmm (123). Its size of the total moment is 0.00 μB/f.u.

Lattice parameters (Å, degrees): 4.122 4.530 4.122 90.00 90.00 90.00
Fractional coordinates of all 5 atoms:
Cl 0.000 0.000 0.000
Be 0.500 0.000 0.000
Cd 0.500 0.500 0.500
Ru 0.000 0.500 0.000
Be 0.000 0.000 0.500

[16]
Compound: CdGaNiRh
Source: Alexandria
Functional: PBE
Structure: relaxed

Calculated values
Its total energy is -17.92 eV per cell. The space-group type is F-43m (216). Its size of the total moment is 0.00 μB/f.u.

Lattice parameters (Å, degrees): 4.378 4.378 4.378 60.00 60.00 60.00
Fractional coordinates of all 4 atoms:
Cd 0.750 0.750 0.750
Ni 0.000 0.000 0.000
Ga 0.250 0.250 0.250
Rh 0.500 0.500 0.500

[17]
Compound: Cu3Pt12Rh
Source: Alexandria
Functional: PBE
Structure: relaxed

Calculated values
Its total energy is -93.62 eV per cell. The space-group type is P4/mmm (123). Its size of the total moment is 1.31 μB/f.u.

Lattice parameters (Å, degrees): 3.906 3.906 15.718 90.00 90.00 90.00
Last column: magnetic moment on the atom in μB.
Fractional coordinates of all 16 atoms:
Pt 0.000 0.500 0.376  0.00
Pt 0.500 0.000 0.624  0.00
Pt 0.000 0.500 0.127  0.13
Pt 0.000 0.500 0.624  0.00
Cu 0.000 0.000 0.500  0.01
Pt 0.000 0.500 0.873  0.13
Pt 0.500 0.000 0.127  0.13
Rh 0.000 0.000 0.000  0.59
Pt 0.500 0.500 0.252  0.03
Pt 0.500 0.000 0.376  0.00
Pt 0.500 0.500 0.000  0.09
Cu 0.000 0.000 0.252  0.02
Pt 0.500 0.500 0.500  -0.01
Cu 0.000 0.000 0.748  0.02
Pt 0.500 0.000 0.873  0.13
Pt 0.500 0.500 0.748  0.03

[18]
Compound: LiNbOF2
Source: Alexandria
Functional: PBE
Structure: relaxed

Calculated values
Its total energy is -29.53 eV per cell. For the uncorrected formation energy, the calculation gives -1.7694 eV/atom. The space-group type is P4/mmm (123). Its size of the total moment is 1.63 μB/f.u.

Lattice parameters (Å, degrees): 3.385 3.385 4.167 90.00 90.00 90.00
Last column: magnetic moment on the atom in μB.
Fractional coordinates of all 5 atoms:
F 0.000 0.500 0.000  0.00
Nb 0.500 0.500 0.500  1.48
O 0.000 0.000 0.500  -0.02
F 0.500 0.000 0.000  0.00
Li 0.000 0.000 0.000  0.00

[19]
Compound: PmSm2Er4Th
Source: Alexandria
Functional: PBE
Structure: relaxed

Calculated values
Its total energy is -39.64 eV per cell. The space-group type is Pmmm (47). Its size of the total moment is 0.00 μB/f.u.

Lattice parameters (Å, degrees): 5.087 5.070 11.146 62.98 90.00 90.00
Fractional coordinates of all 8 atoms:
Er 0.500 0.745 0.254
Sm 0.000 0.000 0.000
Th 0.000 0.500 0.500
Er 0.000 0.246 0.254
Pm 0.500 0.500 0.000
Er 0.000 0.754 0.746
Er 0.500 0.255 0.746
Sm 0.500 0.000 0.500

[20]
Compound: Cd11InAg
Source: Alexandria
Functional: PBE
Structure: relaxed

Calculated values
Its total energy is -15.22 eV per cell. The space-group type is C2/m (12). Its size of the total moment is 0.00 μB/f.u.

Lattice parameters (Å, degrees): 5.972 7.703 7.726 81.78 67.26 68.29
Fractional coordinates of all 13 atoms:
Cd 0.505 0.216 0.788
Cd 0.000 0.000 0.500
Cd 0.644 0.352 0.347
Cd 0.495 0.784 0.212
Cd 0.707 0.784 0.788
Cd 0.293 0.216 0.212
Ag 0.500 0.500 0.000
Cd 0.990 0.352 0.653
Cd 0.010 0.648 0.347
Cd 0.356 0.648 0.653
Cd 0.000 0.500 0.000
In 0.000 0.000 0.000
Cd 0.500 0.000 0.500